Entry 1:
The following is a PBE calculation of crystalline Pm2Al2Au at its relaxed geometry, from Alexandria.

```
data_Pm2Al2Au
_symmetry_space_group_name_H-M 'C 1 2/m 1'
_symmetry_Int_Tables_number 12
_cell_length_a 10.9066
_cell_length_b 4.5820
_cell_length_c 11.0257
_cell_angle_alpha 90.00
_cell_angle_beta 118.57
_cell_angle_gamma 90.00
loop_
_symmetry_equiv_pos_as_xyz
'x,y,z'
'-x,-y,-z'
'-x,y,-z'
'x,-y,z'
'x+1/2,y+1/2,z'
'-x+1/2,-y+1/2,-z'
'-x+1/2,y+1/2,-z'
'x+1/2,-y+1/2,z'
loop_
_atom_site_label
_atom_site_fract_x
_atom_site_fract_y
_atom_site_fract_z
Pm1 0.0069 0.0000 0.3256
Pm2 0.1875 0.0000 0.1099
Al1 0.0172 0.5000 0.8874
Al2 0.1425 0.5000 0.5542
Au1 0.2267 0.5000 0.3459
```

***

Entry 2:
The following is a PBE calculation of crystalline PmAl12Au4 at its relaxed geometry, from Alexandria.

```
data_PmAl12Au4
_symmetry_space_group_name_H-M 'I m -3'
_symmetry_Int_Tables_number 204
_symmetry_space_group_name_Hall '-I 2 2 3'
_cell_length_a 8.9212
_cell_length_b 8.9212
_cell_length_c 8.9212
_cell_angle_alpha 90.00
_cell_angle_beta 90.00
_cell_angle_gamma 90.00
loop_
_atom_site_label
_atom_site_fract_x
_atom_site_fract_y
_atom_site_fract_z
Pm1 0.0000 0.0000 0.0000
Al1 0.0000 0.3495 0.1534
Au1 0.2500 0.2500 0.2500
```

***

Entry 3:
# PmAlAu2 PBE optimized geometry
data_PmAlAu2
_symmetry_space_group_name_H-M 'F m -3 m'
_symmetry_Int_Tables_number 225
_symmetry_space_group_name_Hall '-F 4 2 3'
_cell_length_a 6.9464
_cell_length_b 6.9464
_cell_length_c 6.9464
_cell_angle_alpha 90.00
_cell_angle_beta 90.00
_cell_angle_gamma 90.00
loop_
_atom_site_label
_atom_site_fract_x
_atom_site_fract_y
_atom_site_fract_z
Pm1 0.0000 0.0000 0.0000
Al1 0.0000 0.0000 0.5000
Au1 0.2500 0.2500 0.2500
# energy relative to the lowest polymorph listed for this composition: 0.26 eV/f.u.

***

no.,ΔH_f (0 K) (eV per atom)
1,-0.595
2,-0.106
3,-0.664